A plane-wave DFT calculation with PBE was carried out for crystalline PuTlBi2O6 at its relaxed geometry.

As for the theoretical density: 8.62 g cm⁻³. Its raw formation energy is -1638 meV/atom. For the total magnetic moment, the calculation gives 3.0 μB/f.u. Its volume is 18.5 Å³/atom.

The structure belongs to space group R3 (No. 146, hexagonal axes); the cell edges are 6.0540, 6.0540 and 17.5128 Å and the angles 90.00°, 90.00° and 120.00°. The asymmetric unit holds Pu at (0.0000, 0.0000, 0.0000), Tl at (0.0000, 0.0000, 0.5427), Bi at (0.0000, 0.0000, 0.3233), Bi at (0.0000, 0.0000, 0.7907), O at (0.0235, 0.5981, 0.5931) and O at (0.0456, 0.3352, 0.7288).